## 1
# K2Rb2Tl

A relaxed structure of K2Rb2Tl (PBE, the Alexandria database).

a = 9.975 Å, b = 9.045 Å, c = 9.045 Å
α = 114.14°, β = 104.70°, γ = 104.70°
Positions (direct):
Rb 0.238 0.659 0.224
Rb 0.762 0.776 0.341
Rb 0.238 0.224 0.659
Rb 0.762 0.341 0.776
K 0.863 0.257 0.257
K 0.392 0.224 0.224
K 0.608 0.776 0.776
K 0.137 0.743 0.743
Tl 0.000 0.102 0.898
Tl 0.000 0.898 0.102

Calculated values
- SG = C2/m (12)
- magnetic moment (μB per atom) = 0.0000

=====

## 2
# K2Rb2Tl

A relaxed structure of K2Rb2Tl (PBE, the Alexandria database).

a = 9.774 Å, b = 9.774 Å, c = 7.025 Å
α = 90.00°, β = 90.00°, γ = 90.00°
Positions (direct):
Tl 0.500 0.500 0.000
Tl 0.000 0.000 0.000
Rb 0.848 0.652 0.000
Rb 0.348 0.848 0.000
Rb 0.152 0.348 0.000
Rb 0.652 0.152 0.000
K 0.319 0.181 0.500
K 0.681 0.819 0.500
K 0.181 0.681 0.500
K 0.819 0.319 0.500

Calculated values
- SG = P4/mbm (127)
- magnetic moment (μB per atom) = 0.0000

=====

1 comes first in stability; the runner-up is 121 meV per atom higher.